(1)
First-principles (PBE) data for an optimized crystal structure of Sr4LaZn5, as listed in Alexandria.

Properties
D(E_F): 7.39 states/eV per cell
Mass density: 4.7 g/cm³
Formation energy: -0.208 eV per atom

Lattice parameters (Å, degrees): 3.869 3.869 19.452 90.00 90.00 90.00
Space group P4/mmm (No. 123)
Unique sites:
Sr (0.000, 0.000, 0.102) x2
Sr (0.000, 0.000, 0.304) x2
La (0.000, 0.000, 0.500) x1
Zn (0.500, 0.500, 0.000) x1
Zn (0.500, 0.500, 0.202) x2
Zn (0.500, 0.500, 0.410) x2

(2)
First-principles (PBE) data for an optimized crystal structure of Sr2LaZn, as listed in Alexandria.

Properties
D(E_F): 9.17 states/eV per cell
Mass density: 4.4 g/cm³
Formation energy: 0.171 eV per atom

Lattice parameters (Å, degrees): 5.881 5.881 8.299 90.00 90.00 90.00
Space group I-4m2 (No. 119)
Unique sites:
Sr (0.000, 0.000, 0.000) x2
Sr (0.000, 0.500, 0.250) x2
La (0.000, 0.000, 0.500) x2
Zn (0.000, 0.500, 0.750) x2

(3)
First-principles (PBE) data for an optimized crystal structure of SrLa2Zn4, as listed in Alexandria.

Properties
D(E_F): 11.54 states/eV per cell
Mass density: 5.1 g/cm³
Formation energy: -0.077 eV per atom

Lattice parameters (Å, degrees): 5.1209 5.1209 27.2194 90.00 90.00 120.00
Space group R-3m (No. 166, hexagonal axes)
Unique sites:
Sr (0.0000, 0.0000, 0.0000) x3
La (0.0000, 0.0000, 0.2349) x6
Zn (0.0000, 0.0000, 0.1217) x6
Zn (0.0000, 0.0000, 0.4522) x6

(4)
First-principles (PBE) data for an optimized crystal structure of Sr2LaZn2, as listed in Alexandria.

Properties
D(E_F): 11.95 states/eV per cell
Energy above the lowest structure with this stoichiometry: 0 kJ/mol of formula units
Mass density: 4.5 g/cm³
Formation energy: -0.132 eV per atom

Lattice parameters (Å, degrees): 7.839 7.839 5.363 90.00 90.00 90.00
Space group P4/mbm (No. 127)
Unique sites:
Sr (0.174, 0.326, 0.000) x4
La (0.000, 0.000, 0.500) x2
Zn (0.117, 0.617, 0.500) x4

(5)
First-principles (PBE) data for an optimized crystal structure of SrLa2Zn, as listed in Alexandria.

Properties
D(E_F): 5.33 states/eV per cell
Mass density: 5.4 g/cm³
Formation energy: 0.101 eV per atom

Lattice parameters (Å, degrees): 3.899 5.737 5.959 90.00 90.00 90.00
Space group Pmmm (No. 47)
Unique sites:
Sr (0.000, 0.000, 0.000) x1
La (0.000, 0.500, 0.500) x1
La (0.500, 0.000, 0.500) x1
Zn (0.500, 0.500, 0.000) x1

(6)
First-principles (PBE) data for an optimized crystal structure of Sr2LaZn9, as listed in Alexandria.

Properties
D(E_F): 21.14 states/eV per cell
Mass density: 6.0 g/cm³
Formation energy: -0.223 eV per atom

Lattice parameters (Å, degrees): 5.6705 5.6705 26.7186 90.00 90.00 120.00
Space group R-3m (No. 166, hexagonal axes)
Unique sites:
Sr (0.0000, 0.0000, 0.1426) x6
La (0.0000, 0.0000, 0.0000) x3
Zn (0.0000, 0.0000, 0.3353) x6
Zn (0.0000, 0.0000, 0.5000) x3
Zn (0.0039, 0.5020, 0.9209) x18

(7)
First-principles (PBE) data for an optimized crystal structure of SrLa5Zn4, as listed in Alexandria.

Properties
D(E_F): 15.55 states/eV per cell
Mass density: 5.7 g/cm³
Formation energy: -0.216 eV per atom

Lattice parameters (Å, degrees): 3.818 3.818 20.711 90.00 90.00 90.00
Space group P4/mmm (No. 123)
Unique sites:
Sr (0.000, 0.000, 0.000) x1
La (0.500, 0.500, 0.150) x2
La (0.500, 0.500, 0.322) x2
La (0.500, 0.500, 0.500) x1
Zn (0.000, 0.000, 0.233) x2
Zn (0.000, 0.000, 0.411) x2

(8)
First-principles (PBE) data for an optimized crystal structure of SrLaZn, as listed in Alexandria.

Properties
D(E_F): 4.49 states/eV per cell
Energy above the lowest structure with this stoichiometry: 46 kJ/mol of formula units
Mass density: 4.5 g/cm³
Formation energy: 0.020 eV per atom

Lattice parameters (Å, degrees): 3.9597 3.9597 7.9969 90.00 90.00 120.00
Space group P3m1 (No. 156)
Unique sites:
Sr (0.0000, 0.0000, 0.0000) x1
La (0.3333, 0.6667, 0.5618) x1
Zn (0.6667, 0.3333, 0.2925) x1